Model one:
VASP calculation (GGA-PBE) on a geometry-optimized LaPm12Y6 structure.

a b c (Å): 8.6982 8.6982 8.6982
angles (deg): 89.07 89.07 89.07
Fractional coordinates of all 19 atoms:
La  0.0000  0.0000  0.0000
Pm  0.7782  0.5380  0.4330
Pm  0.4330  0.7782  0.5380
Pm  0.5380  0.4330  0.7782
Pm  0.2218  0.4620  0.5670
Pm  0.5670  0.2218  0.4620
Pm  0.4620  0.5670  0.2218
Pm  0.0164  0.2008  0.3604
Pm  0.7992  0.6396  0.9836
Pm  0.6396  0.9836  0.7992
Pm  0.9836  0.7992  0.6396
Pm  0.2008  0.3604  0.0164
Pm  0.3604  0.0164  0.2008
Y  0.7399  0.9016  0.3034
Y  0.6966  0.2601  0.0984
Y  0.0984  0.6966  0.2601
Y  0.2601  0.0984  0.6966
Y  0.3034  0.7399  0.9016
Y  0.9016  0.3034  0.7399

Summary:
* size of the total moment: 0.00 μB/f.u.

Model two:
VASP calculation (GGA-PBE) on a geometry-optimized LaPm12Y6 structure.

a b c (Å): 8.8761 8.8761 8.8761
angles (deg): 99.22 99.22 99.22
Fractional coordinates of all 19 atoms:
La  0.0000  0.0000  0.0000
Pm  0.7570  0.2430  0.5000
Pm  0.3534  0.0788  0.3534
Pm  0.3534  0.3534  0.0788
Pm  0.9212  0.6466  0.6466
Pm  0.6466  0.6466  0.9212
Pm  0.6466  0.9212  0.6466
Pm  0.5000  0.7570  0.2430
Pm  0.2430  0.5000  0.7570
Pm  0.2430  0.7570  0.5000
Pm  0.5000  0.2430  0.7570
Pm  0.7570  0.5000  0.2430
Pm  0.0788  0.3534  0.3534
Y  0.8978  0.3389  0.8978
Y  0.8978  0.8978  0.3389
Y  0.3389  0.8978  0.8978
Y  0.1022  0.1022  0.6611
Y  0.1022  0.6611  0.1022
Y  0.6611  0.1022  0.1022

Summary:
* size of the total moment: 0.00 μB/f.u.

Of the structures shown above, model one is the most stable.